# Pm5CdGe2 GGA-PBE optimized geometry
# - Calculated total energy: -4.7706 eV/atom
# - Energy relative to the elements: -0.533 eV per atom
# - Energy above the most stable polymorph in this dataset: 0 meV/atom
# - DOS at the Fermi energy: 0.96 states/eV per atom
data_Pm5CdGe2
_space_group_name_H-M_alt 'I 4/m c m'
_space_group_IT_number 140
_space_group_name_Hall '-I 4 2c'
_cell_length_a 7.921
_cell_length_b 7.921
_cell_length_c 14.632
_cell_angle_alpha 90.00
_cell_angle_beta 90.00
_cell_angle_gamma 90.00
loop_
_atom_site_label
_atom_site_type_symbol
_atom_site_fract_x
_atom_site_fract_y
_atom_site_fract_z
Pm1 Pm 0.000 0.000 0.000
Pm2 Pm 0.167 0.333 0.140
Cd1 Cd 0.000 0.000 0.250
Ge1 Ge 0.134 0.366 0.500

***

# In2NiAs GGA-PBE optimized geometry
# - Calculated total energy: -3.7475 eV/atom
# - Energy relative to the elements: 0.229 eV per atom
# - DOS at the Fermi energy: 0.54 states/eV per atom
data_In2NiAs
_space_group_name_H-M_alt 'P m m m'
_space_group_IT_number 47
_cell_length_a 3.840
_cell_length_b 4.307
_cell_length_c 4.766
_cell_angle_alpha 90.00
_cell_angle_beta 90.00
_cell_angle_gamma 90.00
loop_
_space_group_symop_operation_xyz
'x,y,z'
'-x,-y,-z'
'-x,-y,z'
'x,y,-z'
'x,-y,-z'
'-x,y,z'
'-x,y,-z'
'x,-y,z'
loop_
_atom_site_label
_atom_site_type_symbol
_atom_site_fract_x
_atom_site_fract_y
_atom_site_fract_z
In1 In 0.000 0.000 0.000
In2 In 0.000 0.500 0.500
Ni1 Ni 0.500 0.000 0.500
As1 As 0.500 0.500 0.000

***

Q: What is the energy relative to the elements in the first record?
A: -0.533 eV per atom

***

Copy entry 2 word for word.
# In2NiAs GGA-PBE optimized geometry
# - Calculated total energy: -3.7475 eV/atom
# - Energy relative to the elements: 0.229 eV per atom
# - DOS at the Fermi energy: 0.54 states/eV per atom
data_In2NiAs
_space_group_name_H-M_alt 'P m m m'
_space_group_IT_number 47
_cell_length_a 3.840
_cell_length_b 4.307
_cell_length_c 4.766
_cell_angle_alpha 90.00
_cell_angle_beta 90.00
_cell_angle_gamma 90.00
loop_
_space_group_symop_operation_xyz
'x,y,z'
'-x,-y,-z'
'-x,-y,z'
'x,y,-z'
'x,-y,-z'
'-x,y,z'
'-x,y,-z'
'x,-y,z'
loop_
_atom_site_label
_atom_site_type_symbol
_atom_site_fract_x
_atom_site_fract_y
_atom_site_fract_z
In1 In 0.000 0.000 0.000
In2 In 0.000 0.500 0.500
Ni1 Ni 0.500 0.000 0.500
As1 As 0.500 0.500 0.000

***

Repeat the first record exactly.
# Pm5CdGe2 GGA-PBE optimized geometry
# - Calculated total energy: -4.7706 eV/atom
# - Energy relative to the elements: -0.533 eV per atom
# - Energy above the most stable polymorph in this dataset: 0 meV/atom
# - DOS at the Fermi energy: 0.96 states/eV per atom
data_Pm5CdGe2
_space_group_name_H-M_alt 'I 4/m c m'
_space_group_IT_number 140
_space_group_name_Hall '-I 4 2c'
_cell_length_a 7.921
_cell_length_b 7.921
_cell_length_c 14.632
_cell_angle_alpha 90.00
_cell_angle_beta 90.00
_cell_angle_gamma 90.00
loop_
_atom_site_label
_atom_site_type_symbol
_atom_site_fract_x
_atom_site_fract_y
_atom_site_fract_z
Pm1 Pm 0.000 0.000 0.000
Pm2 Pm 0.167 0.333 0.140
Cd1 Cd 0.000 0.000 0.250
Ge1 Ge 0.134 0.366 0.500